This record from the Alexandria database describes a relaxed HgTe2W crystal. The functional is PBEsol.

Geometry as POSCAR:
```
HgTe2W
1.0
-2.635 0.800 1.318
-2.643 -1.051 -1.110
-1.022 -9.606 7.326
Te Hg W
2 1 1
Direct
0.076 0.076 0.773
0.924 0.924 0.227
0.500 0.500 0.500
0.000 0.000 0.000
```

Values from the calculation:
energy relative to the elements, uncorrected: 270 kJ/mol of formula units
Fermi-level density of states: 0.930 states/eV/atom
total magnetic moment: 0.00 μB/f.u.